# PuCdFeRu, optimized geometry, DFT GGA-PBE
data_PuCdFeRu
_cell_length_a 6.530
_cell_length_b 6.530
_cell_length_c 6.530
_cell_angle_alpha 90.00
_cell_angle_beta 90.00
_cell_angle_gamma 90.00
_space_group_name_H-M_alt 'F -4 3 m'
_space_group_IT_number 216
_space_group_name_Hall 'F -4 2 3'
loop_
_atom_site_label
_atom_site_type_symbol
_atom_site_fract_x
_atom_site_fract_y
_atom_site_fract_z
Pu1 Pu 0.000 0.000 0.000
Cd1 Cd 0.000 0.000 0.500
Fe1 Fe 0.250 0.250 0.250
Ru1 Ru 0.250 0.250 0.750
# * crystal system: cubic
# * energy relative to the elements: 0.08 eV per atom